The following is a PBE calculation of a geometry-optimized ThPaPt2 structure, from Alexandria.

## Properties
M_tot = 0.0 μB per cell
Calculated formation energy = -927 meV per atom
Offset from the most stable computed form = 0.076 eV/atom
DOS(E_F) = 1.3818 states/eV/atom
Total energy = -8.18 eV per atom

a b c (Å): 7.681 7.681 7.681
angles (deg): 30.09 30.09 30.09
Fractional coordinates of all 4 atoms:
1 Th 0.000 0.000 0.000
2 Pa 0.171 0.171 0.171
3 Pt 0.580 0.580 0.580
4 Pt 0.759 0.759 0.759



The following is a PBE calculation of a geometry-optimized GaTe2IrPt structure, from Alexandria.

## Properties
M_tot = 0.0 μB per cell
Uncorrected formation energy = 13.82 kcal/mol of atoms
DOS(E_F) = 1.3443 states/eV/atom
Total energy = -4.24 eV per atom

a b c (Å): 5.274 5.274 4.926
angles (deg): 90.00 90.00 90.00
Fractional coordinates of all 5 atoms:
1 Ga 0.000 0.000 0.000
2 Te 0.000 0.500 0.500
3 Te 0.500 0.000 0.500
4 Ir 0.500 0.500 0.500
5 Pt 0.500 0.500 0.000



The following is a PBE calculation of a geometry-optimized SrSnGeTe2 structure, from Alexandria.

## Properties
M_tot = 0.0 μB per cell
Uncorrected formation energy = 10.42 kcal/mol of atoms
DOS(E_F) = 0.6704 states/eV/atom
Total energy = -2.87 eV per atom

a b c (Å): 6.082 6.082 5.578
angles (deg): 90.00 90.00 90.00
Fractional coordinates of all 5 atoms:
1 Sr 0.000 0.000 0.000
2 Sn 0.500 0.500 0.500
3 Ge 0.000 0.000 0.500
4 Te 0.000 0.500 0.000
5 Te 0.500 0.000 0.000



The following is a PBE calculation of a geometry-optimized Ac3In structure, from Alexandria.

## Properties
M_tot = 0.0 μB per cell
Calculated formation energy = -165 meV per atom
Offset from the most stable computed form = 0.019 eV/atom
DOS(E_F) = 1.3774 states/eV/atom
Total energy = -3.93 eV per atom

a b c (Å): 6.668 6.668 6.668
angles (deg): 133.57 133.57 67.76
Fractional coordinates of all 4 atoms:
1 Ac 0.000 0.000 0.000
2 Ac 0.250 0.750 0.500
3 Ac 0.750 0.250 0.500
4 In 0.500 0.500 0.000



The following is a PBE calculation of a geometry-optimized TmPa2Ta structure, from Alexandria.

## Properties
M_tot = 0.0 μB per cell
Calculated formation energy = 342 meV per atom
DOS(E_F) = 1.9673 states/eV/atom
Total energy = -8.49 eV per atom

a b c (Å): 11.816 11.816 11.816
angles (deg): 15.03 15.03 15.03
Fractional coordinates of all 4 atoms:
1 Tm 0.000 0.000 0.000
2 Pa 0.090 0.090 0.090
3 Pa 0.910 0.910 0.910
4 Ta 0.500 0.500 0.500



The following is a PBE calculation of a geometry-optimized ZnNi2HPt structure, from Alexandria.

## Properties
M_tot = 0.6 μB per cell
Offset from the most stable computed form = 0.056 eV/atom
DOS(E_F) = 0.9170 states/eV/atom
Total energy = -4.59 eV per atom

a b c (Å): 3.646 3.646 4.013
angles (deg): 90.00 90.00 90.00
Fractional coordinates of all 5 atoms:
1 Zn 0.000 0.000 0.000
2 Ni 0.000 0.500 0.500
3 Ni 0.500 0.000 0.500
4 H 0.000 0.000 0.500
5 Pt 0.500 0.500 0.000



The following is a PBE calculation of a geometry-optimized Ac2UZnPt6 structure, from Alexandria.

## Properties
M_tot = 1.3 μB per cell
Calculated formation energy = -736 meV per atom
DOS(E_F) = 0.8550 states/eV/atom
Total energy = -6.44 eV per atom

a b c (Å): 5.897 6.532 7.132
angles (deg): 66.41 77.39 63.59
Fractional coordinates of all 10 atoms:
1 Ac 0.184 0.001 0.223
2 Ac 0.816 0.999 0.777
3 U 0.500 0.500 0.000
4 Zn 0.000 0.500 0.500
5 Pt 0.155 0.438 0.843
6 Pt 0.312 0.022 0.733
7 Pt 0.470 0.370 0.403
8 Pt 0.530 0.630 0.597
9 Pt 0.688 0.978 0.267
10 Pt 0.845 0.562 0.157



The following is a PBE calculation of a geometry-optimized BaFe3Pd structure, from Alexandria.

## Properties
M_tot = 7.4 μB per cell
Calculated formation energy = 2323 meV per atom
DOS(E_F) = 1.6412 states/eV/atom
Total energy = -4.18 eV per atom

a b c (Å): 4.820 4.820 4.820
angles (deg): 90.00 90.00 90.00
Fractional coordinates of all 5 atoms:
1 Ba 0.000 0.000 0.000
2 Fe 0.000 0.000 0.500
3 Fe 0.000 0.500 0.000
4 Fe 0.500 0.000 0.000
5 Pd 0.500 0.500 0.500



The following is a PBE calculation of a geometry-optimized SrLa2In2 structure, from Alexandria.

## Properties
M_tot = 0.0 μB per cell
Calculated formation energy = -344 meV per atom
Offset from the most stable computed form = 0.028 eV/atom
DOS(E_F) = 1.2242 states/eV/atom
Total energy = -3.75 eV per atom

a b c (Å): 9.550 9.550 3.683
angles (deg): 90.00 90.00 90.00
Fractional coordinates of all 10 atoms:
1 Sr 0.000 0.000 0.000
2 Sr 0.500 0.500 0.000
3 La 0.117 0.383 0.000
4 La 0.383 0.883 0.000
5 La 0.617 0.117 0.000
6 La 0.883 0.617 0.000
7 In 0.179 0.679 0.500
8 In 0.321 0.179 0.500
9 In 0.679 0.821 0.500
10 In 0.821 0.321 0.500



The following is a PBE calculation of a geometry-optimized Sr2YZr structure, from Alexandria.

## Properties
M_tot = 5.8 μB per cell
Calculated formation energy = 805 meV per atom
Offset from the most stable computed form = 0.552 eV/atom
DOS(E_F) = 1.1134 states/eV/atom
Total energy = -3.79 eV per atom

a b c (Å): 7.435 7.435 7.435
angles (deg): 102.08 102.08 125.56
Fractional coordinates of all 8 atoms:
1 Sr 0.113 0.125 0.488
2 Sr 0.375 0.887 0.012
3 Sr 0.637 0.625 0.512
4 Sr 0.875 0.363 0.988
5 Y 0.250 0.750 0.500
6 Y 0.500 0.500 0.000
7 Zr 0.000 0.000 0.000
8 Zr 0.750 0.250 0.500



The following is a PBE calculation of a geometry-optimized LiCuPtCl6 structure, from Alexandria.

## Properties
M_tot = 0.0 μB per cell
Uncorrected formation energy = -16.68 kcal/mol of atoms
DOS(E_F) = 0.1831 states/eV/atom
Total energy = -3.29 eV per atom

a b c (Å): 5.904 5.904 10.920
angles (deg): 90.00 90.00 90.00
Fractional coordinates of all 18 atoms:
1 Li 0.000 0.000 0.000
2 Li 0.500 0.500 0.500
3 Cu 0.000 0.000 0.322
4 Cu 0.500 0.500 0.822
5 Pt 0.000 0.000 0.665
6 Pt 0.500 0.500 0.165
7 Cl 0.186 0.186 0.502
8 Cl 0.193 0.193 0.824
9 Cl 0.208 0.208 0.172
10 Cl 0.292 0.708 0.672
11 Cl 0.307 0.693 0.324
12 Cl 0.314 0.686 0.002
13 Cl 0.686 0.314 0.002
14 Cl 0.693 0.307 0.324
15 Cl 0.708 0.292 0.672
16 Cl 0.792 0.792 0.172
17 Cl 0.807 0.807 0.824
18 Cl 0.814 0.814 0.502



The following is a PBE calculation of a geometry-optimized NbPBr2 structure, from Alexandria.

## Properties
M_tot = 0.7 μB per cell
Uncorrected formation energy = 3.82 kcal/mol of atoms
Offset from the most stable computed form = 0.276 eV/atom
DOS(E_F) = 0.4637 states/eV/atom
Total energy = -4.54 eV per atom

a b c (Å): 11.425 11.425 11.425
angles (deg): 16.26 16.26 16.26
Fractional coordinates of all 4 atoms:
1 Nb 0.000 0.000 0.000
2 P 0.500 0.500 0.500
3 Br 0.390 0.390 0.390
4 Br 0.610 0.610 0.610



Number 8 is which compound?
BaFe3Pd



Which of these has the highest total energy?
SrSnGeTe2



What is the total energy in the twelfth record?
-4.54 eV per atom